# 1
{
  "formula": "TaCdAs2",
  "functional": "PBE",
  "state": "optimized geometry",
  "n_ef_per_ev_cell": 2.44,
  "magnetic_moment_mub_per_cell": 0.00,
  "mass_density_g_cm3": 8.97,
  "final_energy_ev_per_cell": -21.37,
  "ef_ev_per_atom": 0.1740,
  "cell": [[2.931, -0.007, 0.000], [-0.846, 2.806, 0.000], [0.000, 0.000, 9.983]],
  "species": ["As", "As", "Cd", "Ta"],
  "fractional_positions": [[0.000, 0.000, 0.955], [0.500, 0.500, 0.283], [0.000, 0.000, 0.510], [0.500, 0.500, 0.752]]
}

---

# 2
{
  "formula": "TaCdAs4",
  "functional": "PBE",
  "state": "optimized geometry",
  "n_ef_per_ev_cell": 5.07,
  "magnetic_moment_mub_per_cell": 0.00,
  "mass_density_g_cm3": 8.37,
  "final_energy_ev_per_cell": -27.62,
  "ef_ev_per_atom": 0.6240,
  "cell": [[0.000, 3.889, 3.889], [3.889, 0.000, 3.889], [3.889, 3.889, 0.000]],
  "species": ["Ta", "Cd", "As", "As", "As", "As"],
  "fractional_positions": [[0.000, 0.000, 0.000], [0.750, 0.750, 0.750], [0.879, 0.374, 0.374], [0.374, 0.374, 0.879], [0.374, 0.879, 0.374], [0.374, 0.374, 0.374]]
}

---

# 3
{
  "formula": "TaCdAs2",
  "functional": "PBE",
  "state": "optimized geometry",
  "n_ef_per_ev_cell": 2.33,
  "magnetic_moment_mub_per_cell": 0.00,
  "mass_density_g_cm3": 9.41,
  "final_energy_ev_per_cell": -21.76,
  "ef_ev_per_atom": 0.0772,
  "cell": [[-2.651, 2.236, -1.380], [-1.792, -0.106, 3.273], [1.097, 4.387, 5.001]],
  "species": ["As", "As", "Cd", "Ta"],
  "fractional_positions": [[0.000, 0.072, 0.928], [0.500, 0.180, 0.320], [0.000, 0.545, 0.455], [0.500, 0.704, 0.796]]
}

---

# 4
{
  "formula": "TaCd2As",
  "functional": "PBE",
  "state": "optimized geometry",
  "n_ef_per_ev_cell": 2.00,
  "magnetic_moment_mub_per_cell": 0.00,
  "mass_density_g_cm3": 10.02,
  "final_energy_ev_per_cell": -16.86,
  "ef_ev_per_atom": 0.3689,
  "cell": [[3.184, 0.000, 0.000], [0.000, 4.581, 0.000], [0.000, 0.000, 5.465]],
  "species": ["As", "Cd", "Cd", "Ta"],
  "fractional_positions": [[0.500, 0.500, 0.750], [0.000, 0.000, 0.005], [0.000, 0.000, 0.495], [0.500, 0.500, 0.250]]
}

---

# 5
{
  "formula": "TbCdAs",
  "functional": "PBE",
  "state": "optimized geometry",
  "n_ef_per_ev_cell": 1.46,
  "magnetic_moment_mub_per_cell": 0.00,
  "mass_density_g_cm3": 7.58,
  "final_energy_ev_per_cell": -25.78,
  "ef_ev_per_atom": -0.8979,
  "cell": [[3.955, 0.979, 0.484], [2.967, 4.955, 0.360], [2.864, 0.966, 9.440]],
  "species": ["Cd", "Cd", "Tb", "Tb", "As", "As"],
  "fractional_positions": [[0.544, 0.750, 0.957], [0.456, 0.250, 0.043], [0.834, 0.251, 0.664], [0.166, 0.749, 0.336], [0.842, 0.751, 0.656], [0.158, 0.249, 0.344]]
}

---

# 6
{
  "formula": "Tb2CdAs",
  "functional": "PBE",
  "state": "optimized geometry",
  "n_ef_per_ev_cell": 3.25,
  "magnetic_moment_mub_per_cell": 0.00,
  "mass_density_g_cm3": 7.62,
  "final_energy_ev_per_cell": -18.08,
  "ef_ev_per_atom": -0.8144,
  "cell": [[4.009, 0.000, 0.000], [2.005, 3.472, 0.000], [2.005, 1.157, 7.903]],
  "species": ["As", "Tb", "Tb", "Cd"],
  "fractional_positions": [[0.000, 0.000, 0.000], [0.263, 0.263, 0.211], [0.737, 0.737, 0.789], [0.500, 0.500, 0.500]]
}